A plane-wave DFT calculation with PBE+U was carried out for BeNiN2O after structural relaxation.

Summary:
Total moment = 2.85 μB/cell
E = -20.822 eV/cell

Cell lengths 3.6149, 3.6149, 3.8322 Å; angles 90.00, 90.00, 90.00 degrees
Space group P4/mmm (No. 123)
Symmetry-distinct sites (fractional):
Be: 0.0000 0.0000 0.0000 x1
Ni: 0.5000 0.5000 0.5000 x1
N: 0.0000 0.5000 0.5000 x2
O: 0.5000 0.5000 0.0000 x1

A plane-wave DFT calculation with PBE+U was carried out for BeNiNO2 after structural relaxation.

Summary:
Total moment = 3.07 μB/cell
E = -23.970 eV/cell

Cell lengths 3.0967, 3.0967, 5.2268 Å; angles 90.00, 90.00, 90.00 degrees
Space group P4/mmm (No. 123)
Symmetry-distinct sites (fractional):
Be: 0.0000 0.0000 0.0000 x1
Ni: 0.5000 0.5000 0.5000 x1
N: 0.0000 0.0000 0.5000 x1
O: 0.0000 0.5000 0.0000 x2

A plane-wave DFT calculation with PBE+U was carried out for BeNiN2O after structural relaxation.

Summary:
Total moment = 2.76 μB/cell
E = -23.758 eV/cell

Cell lengths 3.1193, 3.1193, 5.0843 Å; angles 90.00, 90.00, 90.00 degrees
Space group P4/mmm (No. 123)
Symmetry-distinct sites (fractional):
Be: 0.0000 0.0000 0.0000 x1
Ni: 0.5000 0.5000 0.5000 x1
N: 0.0000 0.5000 0.0000 x2
O: 0.0000 0.0000 0.5000 x1